Compound: LaOs3Pb
Source: the Alexandria database
Functional: PBE
Structure: optimized geometry

Cell: 4.949 4.949 4.949 Å, 90.00 90.00 90.00°
Fractional coordinates of all 5 atoms:
La (0.000, 0.000, 0.000)
Os (0.000, 0.000, 0.500)
Os (0.000, 0.500, 0.000)
Os (0.500, 0.000, 0.000)
Pb (0.500, 0.500, 0.500)

Calculated values
ΔE to the lowest computed polymorph, meV per atom: 572.9
SG: Pm-3m
Crystal system: cubic
Theoretical density, g/cm3: 12.56